DFT (PBE) results for a relaxed CsTmCl3 crystal.

Cell: 13.133 7.566 6.236 Å, 90.00 90.06 90.00°
Space group C2/m (No. 12)
Symmetry-distinct sites (fractional):
Cs1 0.166 0.000 0.249 [4 per cell]
Tm1 0.000 0.500 0.000 [2 per cell]
Tm2 0.000 0.500 0.500 [2 per cell]
Cl1 0.084 0.250 0.750 [8 per cell]
Cl2 0.166 0.500 0.251 [4 per cell]

Results
* uncorrected energy: -0.302 Ry per atom